Entry 1:
First-principles (PBE) data for an optimized crystal structure of TbSc2Sn, as listed in the Alexandria database.

POSCAR file:
```
TbSc2Sn
1.0
-2.488 -3.460 2.941
2.363 -2.080 4.110
-1.518 1.282 4.783
Sc Tb Sn
2 1 1
Direct
0.000 0.000 0.000
0.250 0.250 0.250
0.500 0.500 0.500
0.750 0.750 0.750
```

Energy relative to the lowest polymorph listed for this composition, meV/atom: 208
Uncorrected energy, hartree per atom: -0.2050
Symmetry: F-43m, No. 216
Density, g cm⁻³: 6.216
Formation energy from the elements, eV per atom: -0.255

---

Entry 2:
First-principles (PBE) data for an optimized crystal structure of CeCoNiH6, as listed in the Alexandria database.

POSCAR file:
```
CeCoNiH6
1.0
-0.554 -1.593 -4.092
3.463 -0.321 -2.738
0.744 -3.829 1.390
Ni H Co Ce
1 6 1 1
Direct
0.667 0.667 0.500
0.496 0.496 0.749
0.007 0.496 0.749
0.496 0.007 0.749
0.496 0.007 0.251
0.007 0.496 0.251
0.496 0.496 0.251
0.333 0.333 0.500
0.000 0.000 0.000
```

Uncorrected energy, hartree per atom: -0.1723
Symmetry: P-6m2, No. 187
Density, g cm⁻³: 6.234

---

Entry 3:
First-principles (PBE) data for an optimized crystal structure of Ti2Ga4Pd3, as listed in the Alexandria database.

POSCAR file:
```
Ti2Ga4Pd3
1.0
-2.396 -0.335 -4.918
1.500 -7.036 -0.251
-5.258 -1.324 5.706
Ga Pd Ti
8 6 4
Direct
0.329 0.474 0.657
0.184 0.750 0.868
0.684 0.750 0.868
0.671 0.526 0.343
0.816 0.250 0.132
0.829 0.026 0.657
0.316 0.250 0.132
0.171 0.974 0.343
0.989 0.250 0.479
0.500 0.500 0.000
0.511 0.750 0.521
0.000 0.000 0.000
0.011 0.750 0.521
0.489 0.250 0.479
0.091 0.601 0.181
0.591 0.899 0.181
0.909 0.399 0.819
0.409 0.101 0.819
```

Uncorrected energy, hartree per atom: -0.1956
Symmetry: Cmce, No. 64
Density, g cm⁻³: 7.916
Formation energy from the elements, eV per atom: -0.492

---

Entry 4:
First-principles (PBE) data for an optimized crystal structure of Sr5DyTl6, as listed in the Alexandria database.

POSCAR file:
```
Sr5DyTl6
1.0
-4.420 -0.187 3.653
5.123 -0.901 6.151
0.734 7.978 5.832
Tl Sr Dy
6 5 1
Direct
0.841 0.071 0.318
0.500 0.780 0.000
0.159 0.389 0.682
0.500 0.220 0.000
0.841 0.611 0.318
0.159 0.929 0.682
0.662 0.662 0.676
0.678 0.178 0.644
0.338 0.338 0.324
0.000 0.500 0.000
0.322 0.822 0.356
0.000 0.000 0.000
```

Uncorrected energy, hartree per atom: -0.0982
Symmetry: C2/m, No. 12
Density, g cm⁻³: 7.649
Formation energy from the elements, eV per atom: -0.406

---

Entry 5:
First-principles (PBE) data for an optimized crystal structure of Ac2PmNpN4, as listed in the Alexandria database.

POSCAR file:
```
Ac2PmNpN4
1.0
3.664 0.000 0.000
0.000 6.287 0.126
0.000 -2.188 6.104
Pm N Np Ac
1 4 1 2
Direct
0.500 0.500 0.000
0.000 0.770 0.203
0.500 0.218 0.204
0.500 0.782 0.796
0.000 0.230 0.797
0.000 0.000 0.000
0.000 0.500 0.500
0.500 0.000 0.500
```

Formation energy from raw total energies, meV per atom: -1148.9
Uncorrected energy, hartree per atom: -0.3142
Symmetry: P2/m, No. 10
Density, g cm⁻³: 10.460

---

Entry 6:
First-principles (PBE) data for an optimized crystal structure of LaHoTm2, as listed in the Alexandria database.

POSCAR file:
```
LaHoTm2
1.0
5.009 0.000 0.000
0.000 5.064 0.000
0.000 0.000 5.064
Ho Tm La
1 2 1
Direct
0.500 0.500 0.500
0.000 0.000 0.500
0.000 0.500 0.000
0.500 0.000 0.000
```

Energy relative to the lowest polymorph listed for this composition, meV/atom: 27
Uncorrected energy, hartree per atom: -0.1680
Symmetry: P4/mmm, No. 123
Density, g cm⁻³: 8.294
Formation energy from the elements, eV per atom: 0.040